Entry 1:
CeNd12Sm7 after structural relaxation, computed with PBE-GGA.

Summary:
Its excess energy over the best structure of this formula in the dataset is 156 meV per atom. For the total magnetization, the calculation gives 1.1 μB/f.u. As for the energy relative to the elements: 5.73 eV/f.u. Its volume is 35.6 Å³/atom.

POSCAR file:
```
CeNd12Sm7
1.0
6.6385 -0.0001 1.9209
-3.7284 9.4435 4.5969
-0.8181 -0.0001 11.1150
Sm Nd Ce
7 12 1
Cartesian
1.4567 6.6243 6.2531
3.3193 0.0000 0.9605
0.6353 2.8191 11.3797
4.5686 1.5391 3.7857
-2.4766 7.9043 13.8472
5.1080 1.2798 10.2102
-3.0160 8.1635 7.4226
1.0121 2.0165 3.9433
3.8315 4.0450 12.4675
-0.0497 7.4148 9.3046
4.6752 0.6578 6.8735
-0.4120 4.2637 7.8790
-0.9076 4.9216 13.2563
2.5040 5.1796 9.7539
1.0799 7.4268 13.6895
2.1417 2.0285 8.3282
-1.7394 5.3984 5.1653
2.9996 4.5218 4.3765
-2.5832 8.7855 10.7593
0.0000 0.0000 0.0000
```

Entry 2:
NaP3Au after structural relaxation, computed with PBE-GGA.

Summary:
Its excess energy over the best structure of this formula in the dataset is 0 meV per atom. For the total magnetization, the calculation gives 0.0 μB/f.u. As for the energy relative to the elements: 3.94 eV/f.u. Its volume is 24.1 Å³/atom.

POSCAR file:
```
NaP3Au
1.0
-1.8206 4.3850 -1.3687
-4.5828 -1.8350 0.2168
-0.3159 1.3492 4.7430
P Na Au
3 1 1
Cartesian
-0.1579 0.6746 2.3715
-2.2914 -0.9175 0.1084
-0.9103 2.1925 -0.6843
-3.3596 1.9496 1.7956
0.0000 0.0000 0.0000
```

Entry 3:
Ca2Co2P2N after structural relaxation, computed with PBE-GGA.

Summary:
The formation energy (no corrections) comes out at -5.7 eV/f.u. For the total magnetization, the calculation gives 1.0 μB/f.u. Its volume is 15.5 Å³/atom.

POSCAR file:
```
Ca2Co2P2N
1.0
-0.0068 3.6369 -0.7229
-2.4866 0.8803 -5.0579
-5.5687 2.0183 0.6965
Ca Co N P
2 2 1 2
Cartesian
-3.7034 2.9292 -4.2484
-4.3587 3.6063 -0.8358
-1.1661 3.3655 -2.0775
-6.8960 3.1701 -3.0067
0.0000 0.0000 0.0000
-5.6628 5.0052 -3.2959
-2.3993 1.5303 -1.7883
```

Entry 4:
Re5Pt after structural relaxation, computed with PBE-GGA.

Summary:
For the total magnetization, the calculation gives 0.0 μB/f.u. As for the energy relative to the elements: -0.01 eV/f.u. Its volume is 15.0 Å³/atom.

POSCAR file:
```
Re5Pt
1.0
3.9399 0.0000 0.0000
0.0000 3.9162 0.0000
0.0000 -1.9581 5.8313
Re Pt
5 1
Cartesian
0.0000 1.9581 1.9626
0.0000 0.0000 3.8686
1.9700 0.0000 1.9408
1.9700 1.9581 3.8905
1.9700 1.9581 0.0000
0.0000 0.0000 0.0000
```

Entry 5:
La3PrY after structural relaxation, computed with PBE-GGA.

Summary:
Its excess energy over the best structure of this formula in the dataset is 121 meV per atom. For the total magnetization, the calculation gives 0.0 μB/f.u. As for the energy relative to the elements: 1.43 eV/f.u. Its volume is 37.1 Å³/atom.

POSCAR file:
```
La3PrY
1.0
6.5535 0.0000 0.0000
0.0000 6.9242 0.0000
0.0000 3.4621 8.1842
Pr La Y
2 6 2
Cartesian
4.9151 3.4621 5.3921
1.6384 6.9242 2.7921
0.0000 0.0000 0.0000
4.9151 1.6564 2.7256
1.6384 8.7298 5.4586
4.9151 5.2677 2.7256
3.2767 0.0000 0.0000
1.6384 5.1185 5.4586
4.9151 6.9242 6.7470
1.6384 3.4621 1.4372
```

Entry 6:
Dy3NiGe2 after structural relaxation, computed with PBE-GGA.

Summary:
For the total magnetization, the calculation gives 0.2 μB/f.u. As for the energy relative to the elements: -4.77 eV/f.u. Its volume is 22.4 Å³/atom.

POSCAR file:
```
Dy3NiGe2
1.0
4.1737 0.0000 0.0000
0.0000 11.3090 0.0000
0.0000 0.0000 11.3922
Ge Dy Ni
8 12 4
Cartesian
1.0434 0.0309 3.5051
3.1303 2.1176 0.2110
1.0434 9.1914 11.1812
3.1303 11.2780 7.8871
3.1303 3.5369 5.9071
3.1303 5.6854 2.1910
1.0434 5.6236 9.2012
1.0434 7.7721 5.4851
3.1303 7.1004 10.7437
3.1303 2.2189 3.2027
1.0434 0.6580 10.0398
3.1303 3.4356 8.8988
3.1303 6.3125 7.0485
1.0434 4.9965 4.3437
3.1303 9.8631 5.0476
1.0434 9.0901 8.1895
1.0434 7.8734 2.4934
3.1303 10.6510 1.3524
1.0434 1.4459 6.3446
1.0434 4.2086 0.6485
1.0434 4.1632 7.1728
1.0434 1.4913 1.4767
3.1303 7.1458 4.2194
3.1303 9.8177 9.9155
```

Entry 7:
MgSbTe2W after structural relaxation, computed with PBE-GGA.

Summary:
The formation energy (no corrections) comes out at 2.7 eV/f.u. Its excess energy over the best structure of this formula in the dataset is 0 meV per atom. For the total magnetization, the calculation gives 0.0 μB/f.u. Its volume is 30.4 Å³/atom.

POSCAR file:
```
MgSbTe2W
1.0
5.3557 0.0000 0.0000
0.0000 5.3557 0.0000
0.0000 0.0000 5.3063
W Sb Te Mg
1 1 2 1
Cartesian
0.0000 0.0000 0.0000
0.0000 0.0000 2.6531
0.0000 2.6778 0.0000
2.6778 0.0000 0.0000
2.6778 2.6778 2.6531
```

Entry 8:
Li4Ag4Pd3 after structural relaxation, computed with PBE-GGA.

Summary:
For the total magnetization, the calculation gives 0.0 μB/f.u. As for the energy relative to the elements: -2.83 eV/f.u. Its volume is 15.7 Å³/atom.

POSCAR file:
```
Li4Ag4Pd3
1.0
-0.7214 -2.4986 1.0628
3.7136 -0.0616 2.3445
-5.0870 4.9375 12.3480
Ag Pd Li
4 3 4
Cartesian
-4.2225 2.6645 10.9000
-0.6416 0.9220 9.2913
-1.4531 1.4553 6.4643
2.1278 -0.2874 4.8552
-1.4752 3.2628 10.6785
-5.0870 4.9374 12.3479
-0.6196 -0.8857 5.0769
-3.1280 2.6669 13.2802
1.0333 -0.2896 2.4749
0.5674 -0.4960 7.3174
-2.6621 2.8733 8.4380
```